Compound: LaY2InFe
Source: Alexandria via LeMat-Bulk
Functional: GGA-PBE
Structure: relaxed

DFT total energy, eV per atom: -5.92
Formation enthalpy at 0 K, eV per formula unit: -0.55
Total magnetic moment, μB per atom: 0.00

Unit cell a=5.287 b=5.287 c=4.989 alpha=90.00 beta=90.00 gamma=90.00
Space group P4/mmm (No. 123)
Asymmetric unit:
La: 0.000 0.000 0.000 [1 per cell]
Y: 0.000 0.500 0.500 [2 per cell]
In: 0.500 0.500 0.000 [1 per cell]
Fe: 0.000 0.000 0.500 [1 per cell]